1.
Density functional theory data (GGA-PBE) for Ac2Ag2Pb3 after structural relaxation. Values from VASP.

Values from the calculation:
- N(E_F) (states/eV/cell) = 5.00
- energy relative to the elements (kJ per mole of atoms) = -32

```
&SYSTEM
  ibrav = 0, nat = 7, ntyp = 3
/
ATOMIC_SPECIES
Pb 207.20 Pb.upf
Ac 227.00 Ac.upf
Ag 107.87 Ag.upf
CELL_PARAMETERS angstrom
-1.5316 2.9190 -3.4667
1.0715 -5.8220 -2.0750
-7.3049 0.0873 3.3008
ATOMIC_POSITIONS crystal
Pb 0.3829 0.7658 0.5543
Pb 0.5000 0.0000 0.0000
Ac 0.1445 0.2889 0.7896
Ag 0.8432 0.6864 0.7647
Ac 0.8555 0.7111 0.2104
Pb 0.6171 0.2342 0.4457
Ag 0.1568 0.3136 0.2353
```

=====

2.
Density functional theory data (GGA-PBE) for CdOsRh3 after structural relaxation. Values from VASP.

Values from the calculation:
- relative energy among the computed polymorphs (kJ/mol of formula units) = 0.0
- N(E_F) (states/eV/cell) = 4.38
- energy relative to the elements (kJ per mole of atoms) = 106

```
&SYSTEM
  ibrav = 0, nat = 5, ntyp = 3
/
ATOMIC_SPECIES
Rh 102.91 Rh.upf
Cd 112.41 Cd.upf
Os 190.23 Os.upf
CELL_PARAMETERS angstrom
-4.4090 -0.4138 1.6465
-1.5673 -0.7696 -4.3901
0.6527 -4.6431 0.5810
ATOMIC_POSITIONS crystal
Rh 0.0000 0.0000 0.5000
Rh 0.5000 0.0000 0.0000
Rh 0.0000 0.5000 0.0000
Cd 0.5000 0.5000 0.5000
Os 0.0000 0.0000 0.0000
```

=====

3.
Density functional theory data (GGA-PBE) for LiSiW2 after structural relaxation. Values from VASP.

Values from the calculation:
- N(E_F) (states/eV/cell) = 2.32
- raw formation energy (eV/atom) = 0.44

```
&SYSTEM
  ibrav = 0, nat = 4, ntyp = 3
/
ATOMIC_SPECIES
Li 6.94 Li.upf
W 183.84 W.upf
Si 28.09 Si.upf
CELL_PARAMETERS angstrom
2.6910 0.0000 0.0000
0.0000 2.6910 0.0000
0.0000 0.0000 8.3575
ATOMIC_POSITIONS crystal
Li 0.5000 0.5000 0.2500
W 0.0000 0.0000 0.9748
W 0.0000 0.0000 0.5252
Si 0.5000 0.5000 0.7500
```

=====

4.
Density functional theory data (GGA-PBE) for PaAsS after structural relaxation. Values from VASP.

Values from the calculation:
- relative energy among the computed polymorphs (kJ/mol of formula units) = 0.0
- N(E_F) (states/eV/cell) = 7.00
- raw formation energy (eV/atom) = -1.29

```
&SYSTEM
  ibrav = 0, nat = 6, ntyp = 3
/
ATOMIC_SPECIES
S 32.06 S.upf
Pa 231.04 Pa.upf
As 74.92 As.upf
CELL_PARAMETERS angstrom
-3.3678 1.5628 1.2515
0.7851 -1.2220 3.6388
5.0620 6.7466 -0.9357
ATOMIC_POSITIONS crystal
S 0.8176 0.8176 0.6352
Pa 0.3586 0.3586 0.7172
S 0.1824 0.1824 0.3648
As 0.5000 0.0000 0.0000
Pa 0.6414 0.6414 0.2828
As 0.0000 0.5000 0.0000
```

=====

5.
Density functional theory data (GGA-PBE) for NaLi4Zr3Se8 after structural relaxation. Values from VASP.

Values from the calculation:
- N(E_F) (states/eV/cell) = 3.74
- raw formation energy (eV/atom) = -1.29

```
&SYSTEM
  ibrav = 0, nat = 16, ntyp = 4
/
ATOMIC_SPECIES
Se 78.96 Se.upf
Zr 91.22 Zr.upf
Li 6.94 Li.upf
Na 22.99 Na.upf
CELL_PARAMETERS angstrom
7.7845 0.0000 0.0000
0.0000 7.8606 0.0472
-3.8922 -3.8876 5.5087
ATOMIC_POSITIONS crystal
Se 0.7436 0.2519 0.4873
Se 0.7436 0.2519 0.0083
Zr 0.5000 0.5000 0.0000
Li 0.5000 0.0000 0.5000
Na 0.0000 0.5000 0.0000
Zr 0.5000 0.5000 0.5000
Se 0.7354 0.7481 0.9917
Se 0.2564 0.7481 0.9917
Se 0.2564 0.7481 0.5127
Se 0.2646 0.2519 0.0083
Se 0.2502 0.2506 0.5004
Li 0.0000 0.0000 0.5000
Li 0.5000 0.0000 0.0000
Zr 0.0000 0.5000 0.5000
Li 0.0000 0.0000 0.0000
Se 0.7498 0.7494 0.4996
```

=====

6.
Density functional theory data (GGA-PBE) for TaMoRu2 after structural relaxation. Values from VASP.

Values from the calculation:
- relative energy among the computed polymorphs (kJ/mol of formula units) = 3.4
- N(E_F) (states/eV/cell) = 4.03
- energy relative to the elements (kJ per mole of atoms) = -7

```
&SYSTEM
  ibrav = 0, nat = 4, ntyp = 3
/
ATOMIC_SPECIES
Ru 101.07 Ru.upf
Ta 180.95 Ta.upf
Mo 95.94 Mo.upf
CELL_PARAMETERS angstrom
-1.8097 2.2778 -0.2169
-2.0468 -1.7352 -1.1448
-2.5527 -1.3927 6.6750
ATOMIC_POSITIONS crystal
Ru 0.0000 0.0000 0.9970
Ta 0.5000 0.5000 0.2500
Mo 0.5000 0.5000 0.7500
Ru 0.0000 0.0000 0.5030
```

=====

7.
Density functional theory data (GGA-PBE) for Tl2NiHgH after structural relaxation. Values from VASP.

Values from the calculation:
- VASP energy (eV per cell) = -13.3
- N(E_F) (states/eV/cell) = 1.77

```
&SYSTEM
  ibrav = 0, nat = 5, ntyp = 4
/
ATOMIC_SPECIES
Tl 204.38 Tl.upf
Hg 200.59 Hg.upf
H 1.01 H.upf
Ni 58.69 Ni.upf
CELL_PARAMETERS angstrom
5.5033 0.0000 0.0000
0.0000 5.5033 0.0000
0.0000 0.0000 3.3689
ATOMIC_POSITIONS crystal
Tl 0.5000 0.0000 0.0000
Hg 0.5000 0.5000 0.5000
Tl 0.0000 0.5000 0.0000
H 0.0000 0.0000 0.5000
Ni 0.0000 0.0000 0.0000
```

=====

8.
Density functional theory data (GGA-PBE) for Ce3PmIn2 after structural relaxation. Values from VASP.

Values from the calculation:
- N(E_F) (states/eV/cell) = 26.00
- energy relative to the elements (kJ per mole of atoms) = -24

```
&SYSTEM
  ibrav = 0, nat = 12, ntyp = 3
/
ATOMIC_SPECIES
In 114.82 In.upf
Ce 140.12 Ce.upf
Pm 145.00 Pm.upf
CELL_PARAMETERS angstrom
-7.3780 -3.6027 6.3572
-2.9653 -3.9455 -3.0263
3.4461 -6.0609 -2.4673
ATOMIC_POSITIONS crystal
In 0.5865 0.3591 0.8857
Ce 0.0921 0.6081 0.0800
Pm 0.4135 0.1232 0.6272
In 0.4135 0.6409 0.1143
Pm 0.5865 0.8768 0.3728
Ce 0.9079 0.3919 0.9200
Ce 0.9663 0.8063 0.4309
In 0.2600 0.8633 0.3666
In 0.7400 0.1367 0.6334
Ce 0.7714 0.5864 0.1442
Ce 0.0337 0.1937 0.5691
Ce 0.2286 0.4136 0.8558
```

=====

9.
Density functional theory data (GGA-PBE) for Mg3H5Ir after structural relaxation. Values from VASP.

Values from the calculation:
- relative energy among the computed polymorphs (kJ/mol of formula units) = 0.0
- N(E_F) (states/eV/cell) = 0.44

```
&SYSTEM
  ibrav = 0, nat = 9, ntyp = 3
/
ATOMIC_SPECIES
H 1.01 H.upf
Mg 24.30 Mg.upf
Ir 192.22 Ir.upf
CELL_PARAMETERS angstrom
4.1852 -0.0040 2.4251
2.9287 4.8565 0.2544
0.0008 -0.0045 4.8360
ATOMIC_POSITIONS crystal
H 0.1155 0.7046 0.8542
Mg 0.2479 0.4316 0.2637
Mg 0.0166 0.0466 0.6020
H 0.8230 0.4320 0.6884
H 0.6262 0.7156 0.3247
Mg 0.5241 0.8171 0.8804
H 0.9314 0.1593 0.1238
Ir 0.7871 0.9322 0.2246
H 0.4694 0.1498 0.6011
```

=====

10.
Density functional theory data (GGA-PBE) for SmGa4Au6 after structural relaxation. Values from VASP.

Values from the calculation:
- relative energy among the computed polymorphs (kJ/mol of formula units) = 0.0
- N(E_F) (states/eV/cell) = 2.40
- energy relative to the elements (kJ per mole of atoms) = -32

```
&SYSTEM
  ibrav = 0, nat = 11, ntyp = 3
/
ATOMIC_SPECIES
Ga 69.72 Ga.upf
Au 196.97 Au.upf
Sm 150.36 Sm.upf
CELL_PARAMETERS angstrom
-4.5568 2.0917 -0.1883
-1.4065 -3.6156 -6.1260
-1.6260 -2.9647 6.4145
ATOMIC_POSITIONS crystal
Ga 0.5000 0.7358 0.6490
Ga 0.5000 0.3510 0.0868
Au 0.5000 0.3224 0.4211
Au 0.0000 0.4068 0.2577
Au 0.5000 0.5789 0.9014
Au 0.5000 0.0986 0.6776
Sm 0.0000 0.3333 0.6667
Au 0.0000 0.8509 0.5932
Au 0.0000 0.7423 0.1491
Ga 0.0000 0.0000 0.0000
Ga 0.5000 0.9132 0.2642
```

=====

11.
Density functional theory data (GGA-PBE) for VMoIr6 after structural relaxation. Values from VASP.

Values from the calculation:
- N(E_F) (states/eV/cell) = 4.57
- energy relative to the elements (kJ per mole of atoms) = -37

```
&SYSTEM
  ibrav = 0, nat = 8, ntyp = 3
/
ATOMIC_SPECIES
Ir 192.22 Ir.upf
Mo 95.94 Mo.upf
V 50.94 V.upf
CELL_PARAMETERS angstrom
3.8660 0.0000 0.0000
0.0000 5.4669 -0.0347
0.0000 0.0348 5.4669
ATOMIC_POSITIONS crystal
Ir 0.5000 0.0000 0.5000
Ir 0.0000 0.7516 0.2484
Ir 0.5000 0.5000 0.0000
Mo 0.5000 0.5000 0.5000
Ir 0.0000 0.2484 0.2484
V 0.5000 0.0000 0.0000
Ir 0.0000 0.7516 0.7516
Ir 0.0000 0.2484 0.7516
```

=====

12.
Density functional theory data (GGA-PBE) for Ac5Pm2Ge5 after structural relaxation. Values from VASP.

Values from the calculation:
- N(E_F) (states/eV/cell) = 6.54
- energy relative to the elements (kJ per mole of atoms) = -60

```
&SYSTEM
  ibrav = 0, nat = 12, ntyp = 3
/
ATOMIC_SPECIES
Ac 227.00 Ac.upf
Ge 72.64 Ge.upf
Pm 145.00 Pm.upf
CELL_PARAMETERS angstrom
4.4891 0.0000 0.0000
-2.2446 7.4354 -0.1023
0.0000 -3.7140 12.3989
ATOMIC_POSITIONS crystal
Ac 0.3420 0.6840 0.9499
Ac 0.5000 0.0000 0.5000
Ge 0.3182 0.6363 0.2010
Ac 0.7415 0.4829 0.3545
Pm 0.0426 0.0852 0.7889
Ac 0.6580 0.3160 0.0501
Ac 0.2586 0.5171 0.6455
Ge 0.6818 0.3637 0.7990
Ge 0.1128 0.2256 0.4141
Pm 0.9574 0.9148 0.2111
Ge 0.0000 0.0000 0.0000
Ge 0.8872 0.7744 0.5859
```